1.
VASP calculation (GGA-PBE) on MgTiSbSe2 after structural relaxation.

Geometry as CIF:
```
data_MgTiSbSe2
_chemical_formula_sum 'Mg1 Ti1 Sb1 Se2'
_cell_length_a 4.8259
_cell_length_b 4.8259
_cell_length_c 5.4837
_cell_angle_alpha 90.00
_cell_angle_beta 90.00
_cell_angle_gamma 90.00
_symmetry_space_group_name_H-M 'P 4/m m m'
_symmetry_Int_Tables_number 123
_symmetry_space_group_name_Hall '-P 4 2'
loop_
_atom_site_label
_atom_site_type_symbol
_atom_site_fract_x
_atom_site_fract_y
_atom_site_fract_z
Mg1 Mg 0.0000 0.0000 0.0000
Ti1 Ti 0.0000 0.0000 0.5000
Sb1 Sb 0.5000 0.5000 0.5000
Se1 Se 0.0000 0.5000 0.0000
```

Results
- Calculated density: 4.57 g/cm3
- Energy: -17.926 eV per cell
- Energy relative to the elements, uncorrected: 2.65 eV/f.u.

2.
VASP calculation (GGA-PBE) on MgTlSbSe2 after structural relaxation.

Geometry as CIF:
```
data_MgTlSbSe2
_chemical_formula_sum 'Mg1 Tl1 Sb1 Se2'
_cell_length_a 5.1350
_cell_length_b 5.1350
_cell_length_c 5.5358
_cell_angle_alpha 90.00
_cell_angle_beta 90.00
_cell_angle_gamma 90.00
_symmetry_space_group_name_H-M 'P 4/m m m'
_symmetry_Int_Tables_number 123
_symmetry_space_group_name_Hall '-P 4 2'
loop_
_atom_site_label
_atom_site_type_symbol
_atom_site_fract_x
_atom_site_fract_y
_atom_site_fract_z
Mg1 Mg 0.0000 0.0000 0.0000
Tl1 Tl 0.5000 0.5000 0.5000
Sb1 Sb 0.0000 0.0000 0.5000
Se1 Se 0.0000 0.5000 0.0000
```

Results
- Calculated density: 5.78 g/cm3
- Energy: -14.837 eV per cell
- Energy relative to the elements, uncorrected: 0.22 eV/f.u.

3.
VASP calculation (GGA-PBE) on Mg2Tl3SbSe6 after structural relaxation.

Geometry as CIF:
```
data_Mg2Tl3SbSe6
_chemical_formula_sum 'Mg4 Tl6 Sb2 Se12'
_cell_length_a 7.0424
_cell_length_b 12.2343
_cell_length_c 7.7264
_cell_angle_alpha 90.00
_cell_angle_beta 107.52
_cell_angle_gamma 90.00
_symmetry_space_group_name_H-M 'C 1 2/m 1'
_symmetry_Int_Tables_number 12
loop_
_symmetry_equiv_pos_as_xyz
'x,y,z'
'-x,-y,-z'
'-x,y,-z'
'x,-y,z'
'x+1/2,y+1/2,z'
'-x+1/2,-y+1/2,-z'
'-x+1/2,y+1/2,-z'
'x+1/2,-y+1/2,z'
loop_
_atom_site_label
_atom_site_type_symbol
_atom_site_fract_x
_atom_site_fract_y
_atom_site_fract_z
Mg1 Mg 0.0000 0.1657 0.0000
Tl1 Tl 0.0000 0.0000 0.5000
Tl2 Tl 0.0000 0.3267 0.5000
Sb1 Sb 0.0000 0.5000 0.0000
Se1 Se 0.2343 0.3344 0.1994
Se2 Se 0.2367 0.0000 0.2093
```

Results
- Calculated density: 6.58 g/cm3
- Energy: -85.020 eV per cell
- Energy relative to the elements, uncorrected: -7.19 eV/f.u.

4.
VASP calculation (GGA-PBE) on MgTl3Sb3Se8 after structural relaxation.

Geometry as CIF:
```
data_MgTl3Sb3Se8
_chemical_formula_sum 'Mg1 Tl3 Sb3 Se8'
_cell_length_a 8.1371
_cell_length_b 8.1471
_cell_length_c 8.8688
_cell_angle_alpha 62.74
_cell_angle_beta 62.84
_cell_angle_gamma 60.13
_symmetry_space_group_name_H-M 'P -1'
_symmetry_Int_Tables_number 2
loop_
_symmetry_equiv_pos_as_xyz
'x,y,z'
'-x,-y,-z'
loop_
_atom_site_label
_atom_site_type_symbol
_atom_site_fract_x
_atom_site_fract_y
_atom_site_fract_z
Mg1 Mg 0.0000 0.0000 0.0000
Tl1 Tl 0.0000 0.0000 0.5000
Tl2 Tl 0.0000 0.5000 0.5000
Tl3 Tl 0.5000 0.0000 0.5000
Sb1 Sb 0.0000 0.5000 0.0000
Sb2 Sb 0.5000 0.0000 0.0000
Sb3 Sb 0.5000 0.5000 0.0000
Se1 Se 0.2319 0.2320 0.7912
Se2 Se 0.2322 0.7448 0.7908
Se3 Se 0.2561 0.7675 0.2090
Se4 Se 0.2607 0.2600 0.2193
```

Results
- Calculated density: 6.27 g/cm3
- Energy: -54.936 eV per cell
- Energy relative to the elements, uncorrected: -6.00 eV/f.u.

5.
VASP calculation (GGA-PBE) on MgTlSbSe3 after structural relaxation.

Geometry as CIF:
```
data_MgTlSbSe3
_chemical_formula_sum 'Mg2 Tl2 Sb2 Se6'
_cell_length_a 9.0866
_cell_length_b 4.2431
_cell_length_c 9.8500
_cell_angle_alpha 90.00
_cell_angle_beta 102.59
_cell_angle_gamma 90.00
_symmetry_space_group_name_H-M 'P 1 21/m 1'
_symmetry_Int_Tables_number 11
loop_
_symmetry_equiv_pos_as_xyz
'x,y,z'
'-x,-y,-z'
'-x,y+1/2,-z'
'x,-y+1/2,z'
loop_
_atom_site_label
_atom_site_type_symbol
_atom_site_fract_x
_atom_site_fract_y
_atom_site_fract_z
Mg1 Mg 0.0904 0.2500 0.1055
Tl1 Tl 0.1861 0.2500 0.7228
Sb1 Sb 0.3387 0.7500 0.3706
Se1 Se 0.1262 0.2500 0.3749
Se2 Se 0.1997 0.7500 0.0146
Se3 Se 0.4322 0.7500 0.6460
```

Results
- Calculated density: 5.26 g/cm3
- Energy: -44.518 eV per cell
- Energy relative to the elements, uncorrected: -3.72 eV/f.u.

6.
VASP calculation (GGA-PBE) on MgTl2SbSe4 after structural relaxation.

Geometry as CIF:
```
data_MgTl2SbSe4
_chemical_formula_sum 'Mg1 Tl2 Sb1 Se4'
_cell_length_a 7.1534
_cell_length_b 4.1325
_cell_length_c 7.6731
_cell_angle_alpha 90.00
_cell_angle_beta 108.03
_cell_angle_gamma 90.00
_symmetry_space_group_name_H-M 'P 1 2/m 1'
_symmetry_Int_Tables_number 10
loop_
_symmetry_equiv_pos_as_xyz
'x,y,z'
'-x,-y,-z'
'-x,y,-z'
'x,-y,z'
loop_
_atom_site_label
_atom_site_type_symbol
_atom_site_fract_x
_atom_site_fract_y
_atom_site_fract_z
Mg1 Mg 0.0000 0.0000 0.0000
Tl1 Tl 0.0000 0.5000 0.5000
Tl2 Tl 0.5000 0.0000 0.5000
Sb1 Sb 0.5000 0.5000 0.0000
Se1 Se 0.2250 0.5000 0.2031
Se2 Se 0.2526 0.0000 0.7875
```

Results
- Calculated density: 6.70 g/cm3
- Energy: -28.695 eV per cell
- Energy relative to the elements, uncorrected: -4.31 eV/f.u.

7.
VASP calculation (GGA-PBE) on MgSi2Sb after structural relaxation.

Geometry as CIF:
```
data_MgSi2Sb
_chemical_formula_sum 'Mg3 Si6 Sb3'
_cell_length_a 3.7756
_cell_length_b 3.7756
_cell_length_c 20.7541
_cell_angle_alpha 90.00
_cell_angle_beta 90.00
_cell_angle_gamma 120.00
_symmetry_space_group_name_H-M 'R 3 m'
_symmetry_Int_Tables_number 160
_symmetry_space_group_name_Hall 'R 3 -2"'
loop_
_atom_site_label
_atom_site_type_symbol
_atom_site_fract_x
_atom_site_fract_y
_atom_site_fract_z
Mg1 Mg 0.0000 0.0000 0.0000
Si1 Si 0.0000 0.0000 0.4706
Si2 Si 0.0000 0.0000 0.7542
Sb1 Sb 0.0000 0.0000 0.2282
```

Results
- Calculated density: 3.93 g/cm3
- Offset from the most stable computed form: 0.000 eV per atom
- Energy: -47.933 eV per cell
- Energy relative to the elements, uncorrected: 0.59 eV/f.u.

8.
VASP calculation (GGA-PBE) on MgSiSb after structural relaxation.

Geometry as CIF:
```
data_MgSiSb
_chemical_formula_sum 'Mg2 Si2 Sb2'
_cell_length_a 5.1654
_cell_length_b 5.5358
_cell_length_c 6.0052
_cell_angle_alpha 113.19
_cell_angle_beta 108.24
_cell_angle_gamma 94.08
_symmetry_space_group_name_H-M 'P 1'
_symmetry_Int_Tables_number 1
loop_
_symmetry_equiv_pos_as_xyz
'x,y,z'
loop_
_atom_site_label
_atom_site_type_symbol
_atom_site_fract_x
_atom_site_fract_y
_atom_site_fract_z
Mg1 Mg 0.0000 0.0000 0.0000
Mg2 Mg 0.3419 0.6551 0.2449
Si1 Si 0.5476 0.2019 0.0841
Si2 Si 0.7861 0.4644 0.9268
Sb1 Sb 0.3651 0.6769 0.7390
Sb2 Sb 0.8323 0.1034 0.4871
```

Results
- Calculated density: 3.96 g/cm3
- Offset from the most stable computed form: 0.080 eV per atom
- Energy: -21.808 eV per cell
- Energy relative to the elements, uncorrected: 0.24 eV/f.u.

9.
VASP calculation (GGA-PBE) on MgSi2Sb after structural relaxation.

Geometry as CIF:
```
data_MgSi2Sb
_chemical_formula_sum 'Mg1 Si2 Sb1'
_cell_length_a 3.6310
_cell_length_b 3.7113
_cell_length_c 5.9445
_cell_angle_alpha 90.00
_cell_angle_beta 90.00
_cell_angle_gamma 90.00
_symmetry_space_group_name_H-M 'P m m m'
_symmetry_Int_Tables_number 47
loop_
_symmetry_equiv_pos_as_xyz
'x,y,z'
'-x,-y,-z'
'-x,-y,z'
'x,y,-z'
'x,-y,-z'
'-x,y,z'
'-x,y,-z'
'x,-y,z'
loop_
_atom_site_label
_atom_site_type_symbol
_atom_site_fract_x
_atom_site_fract_y
_atom_site_fract_z
Mg1 Mg 0.0000 0.0000 0.0000
Si1 Si 0.5000 0.5000 0.2077
Sb1 Sb 0.0000 0.0000 0.5000
```

Results
- Calculated density: 4.19 g/cm3
- Offset from the most stable computed form: 0.189 eV per atom
- Energy: -15.222 eV per cell
- Energy relative to the elements, uncorrected: 1.34 eV/f.u.

10.
VASP calculation (GGA-PBE) on MgSiSb after structural relaxation.

Geometry as CIF:
```
data_MgSiSb
_chemical_formula_sum 'Mg2 Si2 Sb2'
_cell_length_a 5.0252
_cell_length_b 5.7185
_cell_length_c 6.1315
_cell_angle_alpha 66.51
_cell_angle_beta 87.48
_cell_angle_gamma 67.84
_symmetry_space_group_name_H-M 'P 1'
_symmetry_Int_Tables_number 1
loop_
_symmetry_equiv_pos_as_xyz
'x,y,z'
loop_
_atom_site_label
_atom_site_type_symbol
_atom_site_fract_x
_atom_site_fract_y
_atom_site_fract_z
Mg1 Mg 0.0000 0.0000 0.0000
Mg2 Mg 0.1613 0.2134 0.3759
Si1 Si 0.5809 0.2854 0.6165
Si2 Si 0.7992 0.9296 0.4733
Sb1 Sb 0.1483 0.4962 0.8377
Sb2 Sb 0.5916 0.7124 0.2409
```

Results
- Calculated density: 3.90 g/cm3
- Offset from the most stable computed form: 0.067 eV per atom
- Energy: -21.889 eV per cell
- Energy relative to the elements, uncorrected: 0.20 eV/f.u.

11.
VASP calculation (GGA-PBE) on MgSi2Sb2 after structural relaxation.

Geometry as CIF:
```
data_MgSi2Sb2
_chemical_formula_sum 'Mg2 Si4 Sb4'
_cell_length_a 7.4255
_cell_length_b 7.4255
_cell_length_c 3.9497
_cell_angle_alpha 90.00
_cell_angle_beta 90.00
_cell_angle_gamma 90.00
_symmetry_space_group_name_H-M 'P 4/m b m'
_symmetry_Int_Tables_number 127
_symmetry_space_group_name_Hall '-P 4 2ab'
loop_
_atom_site_label
_atom_site_type_symbol
_atom_site_fract_x
_atom_site_fract_y
_atom_site_fract_z
Mg1 Mg 0.0000 0.0000 0.0000
Si1 Si 0.1180 0.3820 0.0000
Sb1 Sb 0.1874 0.6874 0.5000
```

Results
- Calculated density: 4.94 g/cm3
- Offset from the most stable computed form: 0.084 eV per atom
- Energy: -38.616 eV per cell
- Energy relative to the elements, uncorrected: 1.38 eV/f.u.

12.
VASP calculation (GGA-PBE) on MgSiSb after structural relaxation.

Geometry as CIF:
```
data_MgSiSb
_chemical_formula_sum 'Mg2 Si2 Sb2'
_cell_length_a 3.5699
_cell_length_b 5.8509
_cell_length_c 7.2775
_cell_angle_alpha 103.05
_cell_angle_beta 90.50
_cell_angle_gamma 107.10
_symmetry_space_group_name_H-M 'P 1'
_symmetry_Int_Tables_number 1
loop_
_symmetry_equiv_pos_as_xyz
'x,y,z'
loop_
_atom_site_label
_atom_site_type_symbol
_atom_site_fract_x
_atom_site_fract_y
_atom_site_fract_z
Mg1 Mg 0.0000 0.0000 0.0000
Mg2 Mg 0.4894 0.9625 0.3546
Si1 Si 0.4144 0.8337 0.7017
Si2 Si 0.7861 0.5737 0.5530
Sb1 Sb 0.1315 0.2456 0.6627
Sb2 Sb 0.7449 0.4889 0.1744
```

Results
- Calculated density: 4.10 g/cm3
- Offset from the most stable computed form: 0.091 eV per atom
- Energy: -21.742 eV per cell
- Energy relative to the elements, uncorrected: 0.27 eV/f.u.

> Which value of energy relative to the elements, uncorrected does entry 5 give?

-3.72 eV/f.u.

> Which of these has the highest energy relative to the elements, uncorrected?

MgTiSbSe2

> Which of these has the highest energy?

MgTlSbSe2